(1)
Below is a geometry-optimized Ti8Ir structure, with properties calculated at the GGA-PBE level.

Output
- M_tot (Bohr magnetons per cell) = 0.0
- energy (eV per cell) = -73.1
- ΔH_f (0 K) (eV per formula unit) = -1.1

extended XYZ file:
```
9
Lattice="-3.094 3.189 -0.376 -5.713 -2.414 0.095 -1.683 2.142 5.573" Properties=species:S:1:pos:R:3 pbc="T T T"
Ti -3.184 3.554 3.463
Ti -1.592 1.777 1.733
Ti -2.937 0.258 -0.094
Ti -5.871 0.518 -0.188
Ti -4.507 2.053 1.608
Ti -3.006 0.646 3.774
Ti -4.390 -0.917 1.894
Ti -5.983 0.865 3.683
Ir 0.000 0.000 0.000
```

=====

(2)
Below is a geometry-optimized ZrFeI6 structure, with properties calculated at the GGA-PBE level.

Output
- M_tot (Bohr magnetons per cell) = 4.0
- energy (eV per cell) = -31.2
- energy relative to the elements, uncorrected (meV/atom) = -616

extended XYZ file:
```
8
Lattice="7.745 -0.785 -0.873 -3.095 7.143 -0.873 0.730 0.997 6.501" Properties=species:S:1:pos:R:3 pbc="T T T"
Zr 0.365 0.499 3.250
I 3.481 4.760 0.268
I 6.003 0.238 4.266
I 1.899 2.596 4.487
I -1.592 5.792 4.266
I 6.972 1.564 0.490
I -0.623 7.118 0.490
Fe 0.000 0.000 0.000
```

=====

(3)
Below is a geometry-optimized HBrF6 structure, with properties calculated at the GGA-PBE level.

Output
- M_tot (Bohr magnetons per cell) = 0.0
- energy (eV per cell) = -24.6

extended XYZ file:
```
8
Lattice="-4.210 0.712 -2.955 4.855 0.385 -2.648 -4.027 -5.542 4.788" Properties=species:S:1:pos:R:3 pbc="T T T"
Br -1.691 -2.223 -0.407
F -6.424 -3.141 0.480
F -0.476 -3.532 0.063
F -0.110 -0.892 -0.730
F 3.043 -1.305 -1.295
F -2.905 -0.914 -0.878
F -3.271 -3.554 -0.085
H 4.855 0.385 -2.648
```

=====

(4)
Below is a geometry-optimized NdDySeN structure, with properties calculated at the GGA-PBE level.

Output
- M_tot (Bohr magnetons per cell) = 0.0
- energy (eV per cell) = -27.8
- energy relative to the elements, uncorrected (meV/atom) = -1658

extended XYZ file:
```
4
Lattice="3.740 0.000 0.000 1.870 3.239 0.000 1.870 1.080 6.682" Properties=species:S:1:pos:R:3 pbc="T T T"
N 1.870 1.080 1.786
Nd 5.610 3.239 0.316
Se 5.610 3.239 4.926
Dy 3.740 2.159 2.995
```

=====

(5)
Below is a geometry-optimized Ac2Sn3AsPd4 structure, with properties calculated at the GGA-PBE level.

Output
- M_tot (Bohr magnetons per cell) = 0.0
- energy (eV per cell) = -53.8
- ΔH_f (0 K) (eV per formula unit) = -8.2

extended XYZ file:
```
10
Lattice="4.723 0.000 0.000 0.000 4.723 0.000 0.000 0.000 10.497" Properties=species:S:1:pos:R:3 pbc="T T T"
Pd 0.000 2.361 3.991
Pd 2.361 0.000 6.506
Pd 2.361 2.361 0.000
Pd 0.000 0.000 0.000
Sn 2.361 0.000 9.175
Sn 0.000 0.000 5.248
Sn 0.000 2.361 1.322
As 2.361 2.361 5.248
Ac 2.361 0.000 2.650
Ac 0.000 2.361 7.847
```

=====

(6)
Below is a geometry-optimized PmEr2TmSc5 structure, with properties calculated at the GGA-PBE level.

Output
- M_tot (Bohr magnetons per cell) = 0.0
- energy (eV per cell) = -96.9
- ΔH_f (0 K) (eV per formula unit) = 1.6

extended XYZ file:
```
18
Lattice="5.323 0.000 0.000 -2.661 9.302 0.000 0.000 0.000 10.177" Properties=species:S:1:pos:R:3 pbc="T T T"
Sc 0.000 5.565 7.274
Sc 2.661 4.023 8.231
Sc 0.000 0.370 0.290
Sc 0.000 5.278 3.143
Sc 2.661 1.993 5.301
Sc 2.661 8.932 5.378
Sc 2.661 0.392 2.372
Sc 0.000 8.909 7.461
Sc 2.661 3.737 2.185
Sc 0.000 7.309 0.212
Tm 2.661 5.475 5.220
Tm 0.000 3.827 0.131
Er 2.661 7.216 8.372
Er 2.661 7.223 2.311
Er 0.000 2.079 7.399
Er 0.000 2.085 3.283
Pm 2.661 1.500 9.724
Pm 0.000 7.802 4.635
```

=====

(7)
Below is a geometry-optimized Ce5PrGe5 structure, with properties calculated at the GGA-PBE level.

Output
- M_tot (Bohr magnetons per cell) = 2.3
- energy (eV per cell) = -63.5
- ΔH_f (0 K) (eV per formula unit) = -6.0

extended XYZ file:
```
11
Lattice="-0.451 -0.780 -5.921 5.162 -4.077 3.173 -7.312 -4.090 1.096" Properties=species:S:1:pos:R:3 pbc="T T T"
Ge -0.838 -2.914 0.448
Ge -4.349 -4.903 0.977
Ge -0.226 -0.390 -2.961
Ge -1.764 -6.033 -2.100
Ge 1.747 -4.044 -2.630
Ce -1.060 -3.210 -2.526
Ce -1.542 -5.737 0.873
Ce 2.074 -3.635 0.321
Ce -4.676 -5.312 -1.973
Ce -3.656 -2.045 0.548
Pr 0.000 0.000 0.000
```

=====

(8)
Below is a geometry-optimized LaAg2Os structure, with properties calculated at the GGA-PBE level.

Output
- M_tot (Bohr magnetons per cell) = 0.6
- energy (eV per cell) = -20.8
- energy above the lowest structure with this stoichiometry (eV per atom) = 0.0412
- ΔH_f (0 K) (eV per formula unit) = 1.0

extended XYZ file:
```
4
Lattice="-1.160 -5.154 1.834 -0.315 -4.057 -3.836 3.589 4.078 1.325" Properties=species:S:1:pos:R:3 pbc="T T T"
Ag 0.000 0.000 0.000
Ag -0.737 -4.605 -1.001
Os 0.846 -2.840 1.079
La 1.269 -2.292 -1.757
```

=====

(9)
Below is a geometry-optimized La2NdCoPb structure, with properties calculated at the GGA-PBE level.

Output
- M_tot (Bohr magnetons per cell) = 0.0
- energy (eV per cell) = -27.2
- ΔH_f (0 K) (eV per formula unit) = -1.8

extended XYZ file:
```
5
Lattice="-1.324 -4.493 2.900 3.924 0.969 3.293 -3.195 2.857 2.967" Properties=species:S:1:pos:R:3 pbc="T T T"
Co 0.000 0.000 0.000
Nd -0.662 -2.247 1.450
La -1.598 1.429 1.484
La 1.962 0.484 1.646
Pb -0.298 -0.334 4.580
```

=====

(10)
Below is a geometry-optimized CdAgPd structure, with properties calculated at the GGA-PBE level.

Output
- M_tot (Bohr magnetons per cell) = 0.0
- energy (eV per cell) = -36.0
- energy above the lowest structure with this stoichiometry (eV per atom) = 0.2126
- ΔH_f (0 K) (eV per formula unit) = 0.0

extended XYZ file:
```
12
Lattice="-2.569 -4.707 -0.151 3.936 -2.998 2.074 -3.881 5.334 7.247" Properties=species:S:1:pos:R:3 pbc="T T T"
Cd -2.626 -3.064 4.391
Cd -3.141 -0.161 3.666
Cd 0.941 -5.304 1.324
Cd 0.426 -2.401 0.599
Pd -3.727 -1.222 6.195
Pd -2.353 1.090 6.041
Pd -2.039 -2.004 1.862
Pd -0.161 -3.461 3.128
Ag -1.073 -1.565 7.155
Ag 0.185 -0.379 2.571
Ag 2.152 -1.878 3.608
Ag 0.212 0.789 7.231
```